Entry 1:
# Na2Mn2ZnS6

An optimized crystal structure of Na2Mn2ZnS6 (PBE, Alexandria via LeMat-Bulk).

Output
Fermi-level density of states: 1.78 states/eV/cell
M_tot: 7.92 μB/cell

Cell lengths 6.172, 9.929, 6.929 Å; angles 90.00, 102.82, 90.00 degrees
Space group C2/m (No. 12)
Inequivalent atoms, fractional coordinates:
Na1 0.000 0.180 0.000
Mn1 0.000 0.358 0.500
Zn1 0.000 0.000 0.500
S1 0.187 0.500 0.728
S2 0.222 0.179 0.682

=====

Entry 2:
# Na3Zr3MnS8

An optimized crystal structure of Na3Zr3MnS8 (PBE, Alexandria via LeMat-Bulk).

Output
Fermi-level density of states: 16.62 states/eV/cell
M_tot: 14.41 μB/cell

Cell lengths 7.4116, 7.4116, 20.3675 Å; angles 90.00, 90.00, 120.00 degrees
Space group R-3m (No. 166, hexagonal axes)
Inequivalent atoms, fractional coordinates:
Na1 0.0000 0.5000 0.0000
Zr1 0.0000 0.5000 0.5000
Mn1 0.0000 0.0000 0.5000
S1 0.0000 0.0000 0.2412
S2 0.0005 0.5003 0.7619

=====

Entry 3:
# NaZrMnS3

An optimized crystal structure of NaZrMnS3 (PBE, Alexandria via LeMat-Bulk).

Output
Fermi-level density of states: 3.46 states/eV/cell
M_tot: 1.26 μB/cell

Cell lengths 8.057, 3.543, 8.868 Å; angles 90.00, 108.64, 90.00 degrees
Space group P2_1/m (No. 11)
Inequivalent atoms, fractional coordinates:
Na1 0.199 0.250 0.224
Zr1 0.320 0.750 0.832
Mn1 0.083 0.250 0.592
S1 0.098 0.250 0.853
S2 0.210 0.750 0.515
S3 0.436 0.750 0.148

=====

Entry 4:
# Na2ZrMnS4

An optimized crystal structure of Na2ZrMnS4 (PBE, Alexandria via LeMat-Bulk).

Output
Fermi-level density of states: 1.15 states/eV/cell
M_tot: 4.95 μB/cell

Cell lengths 6.554, 3.744, 6.981 Å; angles 90.00, 108.64, 90.00 degrees
Space group P2/m (No. 10)
Inequivalent atoms, fractional coordinates:
Na1 0.000 0.000 0.000
Na2 0.500 0.500 0.000
Zr1 0.000 0.500 0.500
Mn1 0.500 0.000 0.500
S1 0.234 0.000 0.723
S2 0.264 0.500 0.292

=====

Entry 5:
# NaMnSb

An optimized crystal structure of NaMnSb (PBE, Alexandria via LeMat-Bulk).

Output
Fermi-level density of states: 3.75 states/eV/cell
M_tot: 7.87 μB/cell

Cell lengths 4.419, 4.419, 7.474 Å; angles 90.00, 90.00, 90.00 degrees
Space group P4/nmm (No. 129, origin choice 2)
Inequivalent atoms, fractional coordinates:
Na1 0.250 0.250 0.155
Mn1 0.250 0.750 0.500
Sb1 0.250 0.250 0.717

=====

Entry 6:
# NaMn2Sb2

An optimized crystal structure of NaMn2Sb2 (PBE, Alexandria via LeMat-Bulk).

Output
Fermi-level density of states: 7.06 states/eV/cell
M_tot: 13.54 μB/cell

Cell lengths 7.970, 7.970, 3.272 Å; angles 90.00, 90.00, 90.00 degrees
Space group P4/mbm (No. 127)
Inequivalent atoms, fractional coordinates:
Na1 0.000 0.000 0.000
Mn1 0.118 0.382 0.000
Sb1 0.169 0.669 0.500

=====

Number 1: formation energy from raw total energies -15.02 kcal/mol of atoms. Number 2: formation energy from raw total energies -31.12 kcal/mol of atoms. Number 3: formation energy from raw total energies -26.47 kcal/mol of atoms. Number 4: formation energy from raw total energies -27.75 kcal/mol of atoms. Number 5: formation energy from raw total energies -3.05 kcal/mol of atoms. Number 6: formation energy from raw total energies 1.42 kcal/mol of atoms.